A geometry-optimized Pm2Nd3ScS6 structure. Source: Alexandria via LeMat-Bulk, functional PBE-GGA.

abc: 3.9820 8.0577 8.9334
angles: 103.21 102.88 90.00
Positions (direct):
Pm1 0.8340 0.6667 0.6680
Pm2 0.1660 0.3333 0.3320
Nd1 0.5000 0.5000 0.0000
Nd2 0.8303 0.1651 0.6606
Nd3 0.1697 0.8349 0.3394
Sc1 0.5000 0.0000 0.0000
S1 0.3426 0.9192 0.6852
S2 0.6673 0.5817 0.3347
S3 0.6574 0.0808 0.3148
S4 0.9988 0.2289 0.9976
S5 0.0012 0.7711 0.0024
S6 0.3327 0.4183 0.6653

Summary:
Crystal system: monoclinic
Formation energy from raw total energies: -1980 meV/atom

A geometry-optimized BeSb2TeH structure. Source: Alexandria via LeMat-Bulk, functional PBE-GGA.

abc: 4.3263 4.3263 5.6044
angles: 90.00 90.00 90.00
Positions (direct):
Sb1 0.0000 0.5000 0.0000
Sb2 0.5000 0.0000 0.0000
Te1 0.0000 0.0000 0.5000
H1 0.0000 0.0000 0.0000
Be1 0.5000 0.5000 0.5000

Summary:
Crystal system: tetragonal
Energy relative to the lowest polymorph listed for this composition: 0 meV per atom

A geometry-optimized MnSiTc structure. Source: Alexandria via LeMat-Bulk, functional PBE-GGA.

abc: 4.0020 4.0020 2.7204
angles: 90.00 90.00 120.00
Positions (direct):
Mn1 0.0000 0.0000 0.1660
Si1 0.3333 0.6667 0.1673
Tc1 0.6667 0.3333 0.6667

Summary:
Crystal system: hexagonal
Formation energy from raw total energies: -227 meV/atom
Energy relative to the lowest polymorph listed for this composition: 119 meV per atom

A geometry-optimized NaTb3Se4 structure. Source: Alexandria via LeMat-Bulk, functional PBE-GGA.

abc: 5.8063 5.8063 5.8063
angles: 90.00 90.00 90.00
Positions (direct):
Na1 0.0000 0.0000 0.0000
Tb1 0.0000 0.5000 0.5000
Tb2 0.5000 0.0000 0.5000
Tb3 0.5000 0.5000 0.0000
Se1 0.5000 0.0000 0.0000
Se2 0.0000 0.5000 0.0000
Se3 0.0000 0.0000 0.5000
Se4 0.5000 0.5000 0.5000

Summary:
Crystal system: cubic
Formation energy from raw total energies: -1749 meV/atom
Energy relative to the lowest polymorph listed for this composition: 0 meV per atom

A geometry-optimized BaMoPt2 structure. Source: Alexandria via LeMat-Bulk, functional PBE-GGA.

abc: 2.9683 3.9533 7.4308
angles: 90.00 90.00 90.00
Positions (direct):
Ba1 0.0000 0.0000 0.4841
Mo1 0.5000 0.5000 0.8418
Pt1 0.0000 0.0000 0.9817
Pt2 0.5000 0.5000 0.1923

Summary:
Crystal system: orthorhombic
Energy relative to the elements: 185 meV per atom
Energy relative to the lowest polymorph listed for this composition: 443 meV per atom

A geometry-optimized RbThMnSe4 structure. Source: Alexandria via LeMat-Bulk, functional PBE-GGA.

abc: 7.0067 6.5337 9.6854
angles: 90.00 108.11 90.00
Positions (direct):
Rb1 0.7372 0.7500 0.9431
Rb2 0.2628 0.2500 0.0569
Th1 0.7521 0.7500 0.4446
Th2 0.2479 0.2500 0.5554
Mn1 0.2246 0.7500 0.3279
Mn2 0.7754 0.2500 0.6721
Se1 0.0211 0.5131 0.7047
Se2 0.9789 0.0131 0.2953
Se3 0.9789 0.4869 0.2953
Se4 0.0211 0.9869 0.7047
Se5 0.4305 0.7500 0.1712
Se6 0.5695 0.2500 0.8288
Se7 0.4258 0.7500 0.5803
Se8 0.5742 0.2500 0.4197

Summary:
Crystal system: monoclinic
Formation energy from raw total energies: -1184 meV/atom

A geometry-optimized LiZrV3 structure. Source: Alexandria via LeMat-Bulk, functional PBE-GGA.

abc: 4.7680 4.7680 4.7680
angles: 90.00 90.00 90.00
Positions (direct):
V1 0.0000 0.5000 0.0000
V2 0.0000 0.0000 0.5000
V3 0.5000 0.0000 0.0000
Zr1 0.0000 0.0000 0.0000
Li1 0.5000 0.5000 0.5000

Summary:
Crystal system: cubic
Energy relative to the elements: 1615 meV per atom
Energy relative to the lowest polymorph listed for this composition: 590 meV per atom

A geometry-optimized Nd12Ni6Ge structure. Source: Alexandria via LeMat-Bulk, functional PBE-GGA.

abc: 8.6602 8.6602 8.6602
angles: 109.47 109.47 109.47
Positions (direct):
Nd1 0.3040 0.1187 0.8147
Nd2 0.3040 0.4893 0.1853
Nd3 0.6960 0.5107 0.8147
Nd4 0.6960 0.8813 0.1853
Nd5 0.1187 0.8147 0.3040
Nd6 0.4893 0.1853 0.3040
Nd7 0.5107 0.8147 0.6960
Nd8 0.8813 0.1853 0.6960
Nd9 0.8147 0.3040 0.1187
Nd10 0.1853 0.3040 0.4893
Nd11 0.8147 0.6960 0.5107
Nd12 0.1853 0.6960 0.8813
Ni1 0.3777 0.5000 0.8777
Ni2 0.6223 0.5000 0.1223
Ni3 0.5000 0.8777 0.3777
Ni4 0.5000 0.1223 0.6223
Ni5 0.8777 0.3777 0.5000
Ni6 0.1223 0.6223 0.5000
Ge1 0.0000 0.0000 0.0000

Summary:
Crystal system: cubic
Energy relative to the elements: -275 meV per atom

A geometry-optimized PuMnFeSn structure. Source: Alexandria via LeMat-Bulk, functional PBE-GGA.

abc: 4.6080 4.6080 4.6080
angles: 60.00 60.00 60.00
Positions (direct):
Fe1 0.5000 0.5000 0.5000
Mn1 0.0000 0.0000 0.0000
Sn1 0.2500 0.2500 0.2500
Pu1 0.7500 0.7500 0.7500

Summary:
Crystal system: cubic
Energy relative to the elements: -60 meV per atom

A geometry-optimized LaYC3 structure. Source: Alexandria via LeMat-Bulk, functional PBE-GGA.

abc: 7.4012 7.4012 7.4012
angles: 109.47 109.47 109.47
Positions (direct):
La1 0.8929 0.8929 0.8929
La2 0.6071 0.5000 0.0000
La3 0.0000 0.6071 0.5000
La4 0.5000 0.0000 0.6071
Y1 0.1005 0.5000 0.0000
Y2 0.3995 0.3995 0.3995
Y3 0.0000 0.1005 0.5000
Y4 0.5000 0.0000 0.1005
C1 0.7500 0.4418 0.6918
C2 0.2500 0.0582 0.8082
C3 0.2500 0.2144 0.9644
C4 0.7500 0.2856 0.5356
C5 0.0582 0.8082 0.2500
C6 0.4418 0.6918 0.7500
C7 0.2856 0.5356 0.7500
C8 0.2144 0.9644 0.2500
C9 0.6918 0.7500 0.4418
C10 0.8082 0.2500 0.0582
C11 0.9644 0.2500 0.2144
C12 0.5356 0.7500 0.2856

Summary:
Crystal system: cubic
Energy relative to the elements: -186 meV per atom
Energy relative to the lowest polymorph listed for this composition: 0 meV per atom

A geometry-optimized TlNi2SnRu structure. Source: Alexandria via LeMat-Bulk, functional PBE-GGA.

abc: 4.6278 5.5440 4.6278
angles: 90.00 90.00 90.00
Positions (direct):
Ru1 0.5000 0.5000 0.5000
Tl1 0.0000 0.5000 0.0000
Sn1 0.0000 0.0000 0.0000
Ni1 0.0000 0.0000 0.5000
Ni2 0.5000 0.0000 0.0000

Summary:
Crystal system: tetragonal
Energy relative to the elements: 1498 meV per atom

A geometry-optimized LiTmTaIr structure. Source: Alexandria via LeMat-Bulk, functional PBE-GGA.

abc: 4.6478 4.6478 4.6478
angles: 60.00 60.00 60.00
Positions (direct):
Ir1 0.5000 0.5000 0.5000
Tm1 0.7500 0.7500 0.7500
Li1 0.0000 0.0000 0.0000
Ta1 0.2500 0.2500 0.2500

Summary:
Crystal system: cubic
Energy relative to the elements: -266 meV per atom